First-principles (PBE) data for Ru2PtSe after structural relaxation, as listed in Alexandria.

Unit cell a=5.324 b=5.324 c=7.081 alpha=67.92 beta=67.92 gamma=90.00
Element x y z (fractional)
Se 0.250 0.750 0.500
Se 0.500 0.500 0.000
Ru 0.605 0.125 0.250
Ru 0.145 0.625 0.250
Ru 0.375 0.395 0.750
Ru 0.875 0.855 0.750
Pt 0.750 0.250 0.500
Pt 0.000 0.000 0.000

Summary:
size of the total moment	0.0000	μB per atom
E above lowest polymorph	454.9	meV per atom
E	-6.35	eV/atom
volume	21.254	A^3/atom


First-principles (PBE) data for Ru2PtSe after structural relaxation, as listed in Alexandria.

Unit cell a=4.840 b=4.840 c=4.825 alpha=77.20 beta=77.20 gamma=34.30
Element x y z (fractional)
Pt 0.248 0.248 0.233
Se 0.489 0.489 0.550
Ru 0.007 0.007 0.963
Ru 0.756 0.756 0.754

Summary:
size of the total moment	0.0000	μB per atom
E above lowest polymorph	40.2	meV per atom
E	-6.77	eV/atom
volume	15.491	A^3/atom


First-principles (PBE) data for RuPtSe after structural relaxation, as listed in Alexandria.

Unit cell a=3.080 b=3.080 c=12.392 alpha=90.00 beta=90.00 gamma=120.00
Element x y z (fractional)
Se 0.333 0.667 0.196
Se 0.333 0.667 0.804
Pt 0.334 0.667 0.000
Pt 0.333 0.666 0.500
Ru 0.667 0.333 0.327
Ru 0.667 0.333 0.673

Summary:
size of the total moment	0.0008	μB per atom
E above lowest polymorph	0.0	meV per atom
E	-6.14	eV/atom
volume	16.969	A^3/atom


First-principles (PBE) data for RuPtSe after structural relaxation, as listed in Alexandria.

Unit cell a=6.191 b=6.191 c=6.191 alpha=152.79 beta=152.79 gamma=38.86
Element x y z (fractional)
Se 0.695 0.695 0.000
Ru 0.321 0.321 0.000
Pt 0.984 0.984 0.000

Summary:
size of the total moment	0.0000	μB per atom
E above lowest polymorph	56.8	meV per atom
E	-6.08	eV/atom
volume	16.511	A^3/atom


First-principles (PBE) data for Ru2PtSe after structural relaxation, as listed in Alexandria.

Unit cell a=5.332 b=5.332 c=5.332 alpha=147.58 beta=131.01 gamma=59.98
Element x y z (fractional)
Se 0.490 0.490 0.000
Ru 0.276 0.776 0.500
Ru 0.006 0.006 0.000
Pt 0.728 0.228 0.500

Summary:
size of the total moment	0.0008	μB per atom
E above lowest polymorph	119.6	meV per atom
E	-6.69	eV/atom
volume	15.192	A^3/atom


First-principles (PBE) data for RuPtSe3 after structural relaxation, as listed in Alexandria.

Unit cell a=4.795 b=4.795 c=4.795 alpha=90.00 beta=90.00 gamma=90.00
Element x y z (fractional)
Pt 0.500 0.500 0.500
Se 0.000 0.500 0.000
Se 0.500 0.000 0.000
Se 0.000 0.000 0.500
Ru 0.000 0.000 0.000

Summary:
size of the total moment	0.0000	μB per atom
E above lowest polymorph	0.0	meV per atom
E	-4.30	eV/atom
volume	22.046	A^3/atom


First-principles (PBE) data for Ru2PtSe after structural relaxation, as listed in Alexandria.

Unit cell a=4.596 b=4.596 c=2.897 alpha=90.00 beta=90.00 gamma=99.58
Element x y z (fractional)
Se 0.500 0.000 0.500
Pt 0.000 0.500 0.500
Ru 0.000 0.000 0.000
Ru 0.500 0.500 0.000

Summary:
size of the total moment	0.0000	μB per atom
E above lowest polymorph	90.6	meV per atom
E	-6.72	eV/atom
volume	15.082	A^3/atom


First-principles (PBE) data for Ru2PtSe after structural relaxation, as listed in Alexandria.

Unit cell a=8.446 b=8.446 c=8.446 alpha=19.75 beta=19.75 gamma=19.75
Element x y z (fractional)
Ru 0.507 0.507 0.507
Ru 0.993 0.993 0.993
Pt 0.750 0.750 0.750
Se 0.250 0.250 0.250

Summary:
size of the total moment	0.0002	μB per atom
E above lowest polymorph	33.4	meV per atom
E	-6.77	eV/atom
volume	15.044	A^3/atom


no.,ΔE_f (raw) (eV per formula unit),DOS(E_F) (states/eV per cell)
1,2.7,9.7
2,1.0,2.7
3,0.4,7.0
4,0.6,3.4
5,1.3,6.2
6,4.3,8.5
7,1.2,4.0
8,1.0,7.2